1.
Compound: SbTe2Br
Source: Alexandria
Functional: PBE
Structure: relaxed

POSCAR file:
```
SbTe2Br
1.0
-1.930 2.526 6.038
1.930 -2.526 6.038
1.930 2.526 -6.038
Sb Te Br
1 2 1
Direct
0.000 0.000 0.000
0.213 0.713 0.500
0.787 0.287 0.500
0.500 0.500 0.000
```

Computed properties:
The calculation puts the energy above the most stable polymorph in this dataset at 0.270 eV per atom. Its total magnetization is 0.0 Bohr magnetons per cell. The calculated total energy is -11.70 eV for the cell shown.

***

2.
Compound: Hf2AgHAu
Source: Alexandria
Functional: PBE
Structure: relaxed

POSCAR file:
```
Hf2AgHAu
1.0
4.320 0.000 0.000
0.000 4.320 0.000
0.000 0.000 4.255
Hf Ag H Au
2 1 1 1
Direct
0.000 0.500 0.000
0.500 0.000 0.000
0.000 0.000 0.500
0.000 0.000 0.000
0.500 0.500 0.500
```

Computed properties:
Its total magnetization is 0.4 Bohr magnetons per cell. The calculated total energy is -30.39 eV for the cell shown.

***

3.
Compound: CaPm2Cd
Source: Alexandria
Functional: PBE
Structure: relaxed

POSCAR file:
```
CaPm2Cd
1.0
1.790 1.033 12.280
-1.790 1.033 12.280
0.000 -2.066 12.280
Ca Pm Cd
1 2 1
Direct
0.000 0.000 0.000
0.097 0.097 0.097
0.903 0.903 0.903
0.500 0.500 0.500
```

Computed properties:
The calculation puts the energy above the most stable polymorph in this dataset at 0.198 eV per atom. Its total magnetization is 0.0 Bohr magnetons per cell. The value obtained for the formation energy is 0.1022 eV per atom. The calculated total energy is -12.01 eV for the cell shown.

***

4.
Compound: Rb3Au2Br
Source: Alexandria
Functional: PBE
Structure: relaxed

POSCAR file:
```
Rb3Au2Br
1.0
-2.498 2.498 10.610
2.498 -2.498 10.610
2.498 2.498 -10.610
Rb Au Br
3 2 1
Direct
0.000 0.000 0.000
0.335 0.335 0.000
0.665 0.665 0.000
0.168 0.168 0.000
0.832 0.832 0.000
0.500 0.500 0.000
```

Computed properties:
Its total magnetization is 0.0 Bohr magnetons per cell. The calculated total energy is -15.66 eV for the cell shown.